Here is crystalline PmSm2DySe4 at its relaxed geometry from the Alexandria database. Energies are from PBE.

Unit cell a=7.205 b=4.103 c=7.252 alpha=90.00 beta=108.84 gamma=90.00
Space group P2/m (No. 10)
Unique sites:
1 Pm 0.000 0.000 0.000 x1
2 Sm 0.500 0.000 0.500 x1
3 Sm 0.500 0.500 0.000 x1
4 Dy 0.000 0.500 0.500 x1
5 Se 0.244 0.000 0.743 x2
6 Se 0.248 0.500 0.255 x2

crystal system	monoclinic
formation energy (no corrections)	-1801.1	meV/atom
volume	25.36	Å³/atom
magnetization	0.0	Bohr magnetons per cell

=====

Here is crystalline CaTlI2F at its relaxed geometry from the Alexandria database. Energies are from PBE.

Unit cell a=6.323 b=6.323 c=4.344 alpha=90.00 beta=90.00 gamma=90.00
Space group P4/mmm (No. 123)
Unique sites:
1 Ca 0.000 0.000 0.000 x1
2 Tl 0.500 0.500 0.500 x1
3 I 0.000 0.500 0.000 x2
4 F 0.000 0.000 0.500 x1

crystal system	tetragonal
formation energy (no corrections)	-1840.5	meV/atom
volume	34.74	Å³/atom
magnetization	0.0	Bohr magnetons per cell

=====

Here is crystalline SbMo2Br at its relaxed geometry from the Alexandria database. Energies are from PBE.

Unit cell a=5.651 b=9.277 c=3.440 alpha=90.00 beta=121.08 gamma=90.00
Space group C2/m (No. 12)
Unique sites:
1 Sb 0.000 0.000 0.000 x2
2 Mo 0.250 0.250 0.500 x4
3 Br 0.000 0.500 0.000 x2

crystal system	monoclinic
formation energy (no corrections)	926.7	meV/atom
volume	19.31	Å³/atom
magnetization	0.0	Bohr magnetons per cell
energy above the lowest structure with this stoichiometry	0.729	eV/atom

=====

Here is crystalline PuAgPbBr6 at its relaxed geometry from the Alexandria database. Energies are from PBE.

Unit cell a=6.928 b=6.928 c=13.300 alpha=90.00 beta=90.00 gamma=90.00
Space group P4_2nm (No. 102)
Unique sites:
1 Pu 0.000 0.000 0.000 x2
2 Ag 0.000 0.000 0.666 x2
3 Pb 0.000 0.000 0.333 x2
4 Br 0.189 0.189 0.832 x4
5 Br 0.199 0.199 0.159 x4
6 Br 0.204 0.204 0.508 x4

crystal system	tetragonal
formation energy (no corrections)	-1024.8	meV/atom
volume	35.47	Å³/atom
magnetization	10.0	Bohr magnetons per cell

=====

Here is crystalline ReAgOs2 at its relaxed geometry from the Alexandria database. Energies are from PBE.

Unit cell a=9.228 b=2.758 c=4.859 alpha=90.00 beta=100.09 gamma=90.00
Space group C2/m (No. 12)
Unique sites:
1 Re 0.000 0.000 0.000 x2
2 Ag 0.000 0.500 0.500 x2
3 Os 0.238 0.500 0.227 x4

crystal system	monoclinic
volume	15.22	Å³/atom
energy of formation from the pure elements	0.496	eV/atom
magnetization	0.0	Bohr magnetons per cell
energy above the lowest structure with this stoichiometry	0.230	eV/atom

=====

Here is crystalline MgSb2N at its relaxed geometry from the Alexandria database. Energies are from PBE.

Unit cell a=6.544 b=6.544 c=8.479 alpha=90.00 beta=90.00 gamma=90.00
Space group I-42d (No. 122)
Unique sites:
1 Mg 0.000 0.000 0.000 x4
2 Sb 0.168 0.750 0.625 x8
3 N 0.000 0.000 0.500 x4

crystal system	tetragonal
formation energy (no corrections)	439.3	meV/atom
volume	22.69	Å³/atom
magnetization	0.0	Bohr magnetons per cell
energy above the lowest structure with this stoichiometry	0.000	eV/atom

=====

Here is crystalline La2TbDy4 at its relaxed geometry from the Alexandria database. Energies are from PBE.

Unit cell a=6.129 b=8.505 c=9.601 alpha=88.05 beta=79.22 gamma=72.08
Space group P1 (No. 1)
Unique sites:
1 La 0.000 0.000 0.000 x1
2 La 0.130 0.476 0.519 x1
3 La 0.295 0.544 0.141 x1
4 La 0.605 0.698 0.416 x1
5 Tb 0.593 0.801 0.061 x1
6 Tb 0.691 0.269 0.578 x1
7 Dy 0.051 0.924 0.360 x1
8 Dy 0.243 0.063 0.645 x1
9 Dy 0.355 0.646 0.780 x1
10 Dy 0.443 0.202 0.923 x1
11 Dy 0.484 0.134 0.292 x1
12 Dy 0.799 0.855 0.708 x1
13 Dy 0.884 0.428 0.871 x1
14 Dy 0.913 0.327 0.226 x1

crystal system	triclinic
volume	33.40	Å³/atom
energy of formation from the pure elements	0.070	eV/atom
magnetization	0.0	Bohr magnetons per cell
energy above the lowest structure with this stoichiometry	0.000	eV/atom

=====

Here is crystalline Cs2LiHg5 at its relaxed geometry from the Alexandria database. Energies are from PBE.

Unit cell a=7.311 b=7.311 c=11.560 alpha=90.00 beta=90.00 gamma=90.00
Space group I4mm (No. 107)
Unique sites:
1 Cs 0.000 0.500 0.000 x4
2 Li 0.000 0.000 0.166 x2
3 Hg 0.000 0.000 0.917 x2
4 Hg 0.241 0.241 0.748 x8

crystal system	tetragonal
volume	38.61	Å³/atom
energy of formation from the pure elements	-0.215	eV/atom
magnetization	0.0	Bohr magnetons per cell